No. 1
# TmFeNiP2 | OQMD | PBE | relaxed
data_TmFeNiP2
_cell_length_a 3.824
_cell_length_b 3.824
_cell_length_c 9.377
_cell_angle_alpha 90.00
_cell_angle_beta 90.00
_cell_angle_gamma 90.00
_space_group_name_H-M_alt 'I -4 m 2'
_space_group_IT_number 119
_space_group_name_Hall 'I -4 -2'
loop_
_atom_site_label
_atom_site_fract_x
_atom_site_fract_y
_atom_site_fract_z
Tm1 0.000 0.000 0.000
Fe1 0.000 0.500 0.750
Ni1 0.000 0.500 0.250
P1 0.000 0.000 0.376
# Energy   -6.794 eV per atom


No. 2
# Zr4FeNiP2 | OQMD | PBE | relaxed
data_Zr4FeNiP2
_cell_length_a 5.265
_cell_length_b 3.644
_cell_length_c 7.440
_cell_angle_alpha 90.00
_cell_angle_beta 110.24
_cell_angle_gamma 90.00
_space_group_name_H-M_alt 'P 1 m 1'
_space_group_IT_number 6
loop_
_space_group_symop_operation_xyz
'x,y,z'
'x,-y,z'
loop_
_atom_site_label
_atom_site_fract_x
_atom_site_fract_y
_atom_site_fract_z
Zr1 0.000 0.000 0.000
Zr2 0.062 0.500 0.636
Zr3 0.480 0.000 0.477
Zr4 0.553 0.500 0.133
Fe1 0.131 0.500 0.266
Ni1 0.421 0.000 0.847
P1 0.629 0.500 0.771
P2 0.914 0.000 0.350
# Energy   -8.267 eV per atom


No. 3
# PaFeNi | OQMD | PBE | relaxed
data_PaFeNi
_cell_length_a 5.907
_cell_length_b 5.907
_cell_length_c 5.907
_cell_angle_alpha 90.00
_cell_angle_beta 90.00
_cell_angle_gamma 90.00
_space_group_name_H-M_alt 'F -4 3 m'
_space_group_IT_number 216
_space_group_name_Hall 'F -4 2 3'
loop_
_atom_site_label
_atom_site_fract_x
_atom_site_fract_y
_atom_site_fract_z
Pa1 0.000 0.000 0.000
Fe1 0.250 0.250 0.250
Ni1 0.000 0.000 0.500
# ΔE_f   55.2 meV/atom